# 1
HoAl2Pd3 (PBE, optimized geometry); E_tot = -5.545 eV/atom; SG = P6_3/mmc (194); density = 8.642 Mg/m³
1.0
4.3476 0.0000 0.0000
-2.1738 3.7651 0.0000
0.0000 0.0000 12.6335
Pd Ho Al
6 2 4
Cartesian
0.0000 0.0000 0.0000
2.1738 1.2550 7.9354
2.1738 1.2550 11.0149
0.0000 2.5101 1.6186
0.0000 0.0000 6.3168
0.0000 2.5101 4.6981
0.0000 0.0000 9.4752
0.0000 0.0000 3.1584
0.0000 2.5101 11.6836
2.1738 1.2550 0.9499
0.0000 2.5101 7.2667
2.1738 1.2550 5.3668

***

# 2
PrHoAl2Pd4 (PBE, optimized geometry); E_tot = -5.602 eV/atom; SG = P-6m2 (187); density = 8.418 Mg/m³
1.0
4.3932 0.0000 0.0000
-2.1966 3.8046 0.0000
0.0000 0.0000 9.2701
Pd Ho Al Pr
4 1 2 1
Cartesian
0.0000 0.0000 6.3468
2.1966 1.2682 1.5206
2.1966 1.2682 7.7495
0.0000 0.0000 2.9233
0.0000 0.0000 0.0000
0.0000 2.5364 7.0224
0.0000 2.5364 2.2477
2.1966 1.2682 4.6351